First-principles (PBE) data for crystalline CdAgTeC2 at its relaxed geometry, as listed in Alexandria.

Cell and atoms, written as POSCAR:
```
CdAgTeC2
1.0
4.202 0.000 0.000
0.000 6.014 0.000
0.000 0.000 4.202
Cd C Ag Te
1 2 1 1
Direct
0.500 0.500 0.500 Cd
0.500 0.000 0.000 C
0.000 0.000 0.500 C
0.000 0.000 0.000 Ag
0.000 0.500 0.000 Te
```

The volume is 21.24 A^3/atom. The symmetry is No. 123. For the formation energy from raw total energies, the calculation gives 10.79 eV per formula unit.